1.
First-principles (PBE) data for a relaxed ZnCdIn2Hg8 crystal, as listed in Alexandria.

Summary:
* uncorrected energy: -0.77 eV/atom
* spin magnetization: 0.000 μB per atom
* formation energy: 66 meV per atom

Lattice parameters (Å, degrees): 6.3704 6.3704 8.9585 90.00 90.00 120.00
With the nearest neighbours (Å) after each atom.
Space group P-3m1 (No. 164)
Inequivalent atoms, fractional coordinates:
1 Zn 0.0000 0.0000 0.0000  6 Hg 2.82
2 Cd 0.0000 0.0000 0.5000  6 Hg 3.05
3 In 0.3333 0.6667 0.9023  10 Hg 3.14-3.46
4 Hg 0.1723 0.3445 0.2331  1 Zn 2.82, 1 Cd 3.05, 2 Hg 3.08
5 Hg 0.3333 0.6667 0.5522  1 In 3.14, 3 Hg 3.37

---

2.
First-principles (PBE) data for a relaxed CrSn2Cl6 crystal, as listed in Alexandria.

Summary:
* uncorrected energy: -4.17 eV/atom
* spin magnetization: 0.444 μB per atom
* E_form (uncorrected): -0.9765 eV/atom

Lattice parameters (Å, degrees): 6.9938 7.9195 11.6042 90.00 124.94 90.00
With the nearest neighbours (Å) after each atom.
Space group P2_1/c (No. 14)
Inequivalent atoms, fractional coordinates:
1 Cr 0.0000 0.0000 0.0000  4 Cl 2.40-2.41
2 Sn 0.2825 0.1288 0.8015  3 Cl 2.59-2.73
3 Cl 0.0979 0.2463 0.4304  1 Cr 2.41, 1 Sn 2.66
4 Cl 0.3129 0.6792 0.4659  1 Sn 2.59, 1 Cr 2.82
5 Cl 0.3202 0.0459 0.2399  1 Cr 2.40

---

3.
First-principles (PBE) data for a relaxed HfMnSe crystal, as listed in Alexandria.

Summary:
* uncorrected energy: -8.17 eV/atom
* spin magnetization: 0.918 μB per atom
* E_form (uncorrected): -0.6296 eV/atom

Lattice parameters (Å, degrees): 3.5030 3.5030 9.6713 90.00 90.00 90.00
With the nearest neighbours (Å) after each atom.
Space group P4/nmm (No. 129, origin choice 2)
Inequivalent atoms, fractional coordinates:
1 Hf 0.2500 0.2500 0.2190  5 Mn 2.66-2.94, 4 Se 2.73
2 Mn 0.2500 0.2500 0.9439  5 Hf 2.66-2.94, 4 Mn 2.70, 1 Se 2.72
3 Se 0.2500 0.2500 0.6627  1 Mn 2.72, 4 Hf 2.73